The following is a DFT calculation (GGA-PBE) of Sr2TaP after structural relaxation.

Output
density of states at the Fermi level = 2.38 states/eV per cell
DFT total energy = -18.1 eV for the cell shown
calculated volume = 27.0 A^3/atom
energy relative to the elements = 638 meV/atom
calculated density = 6.0 Mg/m³

Cell lengths 5.684, 5.684, 5.684 Å; angles 129.06, 129.06, 74.91 degrees
Each line ends with the local moment (μB).
Atoms (fractional coordinates):
Ta  0.500  0.500  0.000  1.92
Sr  0.250  0.750  0.500  0.12
P  0.000  0.000  0.000  -0.04
Sr  0.750  0.250  0.500  0.12